1.
Compound: Pr5Os2Au
Source: Alexandria via LeMat-Bulk
Functional: PBE
Structure: relaxed

## Properties
E = -0.2372 Ha/atom
density = 9.70 g/cm³
DOS(E_F) = 13.5 states/eV per cell
M_tot = 0.0 Bohr magnetons per cell

The structure in extended XYZ format:
```
16
Lattice="7.2036 0.0000 -3.4005 -1.6052 7.0225 -3.4005 -0.1961 -0.2459 8.9150" Properties=species:S:1:pos:R:3 pbc="T T T"
Pr 4.5786 1.2252 3.4444
Pr -0.7797 3.5399 4.6031
Os 1.2528 6.0895 -4.1972
Os 0.3677 2.5783 -1.7002
Pr 0.0000 0.0000 0.0000
Au 4.1008 5.1439 -0.6432
Pr 4.1521 6.7478 -3.6100
Pr 2.8537 2.0401 -0.2095
Pr 2.7992 3.5112 -3.4005
Os 4.3456 0.9330 -2.6038
Au 1.3016 1.6327 2.7573
Os 5.2307 4.4442 -5.1007
Pr 1.2503 0.0287 5.7240
Pr 0.8238 5.5513 -1.3303
Pr 6.1820 3.2366 -2.4891
Pr 2.5486 4.7365 2.3235
```

***

2.
Compound: Li3ThCl7
Source: Alexandria via LeMat-Bulk
Functional: PBE
Structure: relaxed

## Properties
formation energy from raw total energies = -1945 meV per atom
density = 2.85 g/cm³
DOS(E_F) = 0.0 states/eV per cell
M_tot = 0.0 Bohr magnetons per cell

The structure in extended XYZ format:
```
11
Lattice="5.7433 0.8105 4.0738 -0.5315 5.7758 4.0738 0.2701 0.3413 9.0952" Properties=species:S:1:pos:R:3 pbc="T T T"
Cl 5.2216 6.5987 14.4107
Cl 2.2126 6.1775 12.7269
Cl 3.1770 4.0149 7.2433
Cl 0.2641 0.3338 2.5234
Cl 0.3186 3.1539 4.8464
Th 4.9606 6.2689 8.0085
Li 4.4908 2.1409 8.2203
Li 2.8737 3.6317 4.7850
Li 1.0511 4.8627 8.2203
Cl 2.9962 1.0352 4.8464
Cl 5.5033 3.5736 12.7269
```

***

3.
Compound: Rb3HfI7
Source: Alexandria via LeMat-Bulk
Functional: PBE
Structure: relaxed

## Properties
formation energy from raw total energies = -1131 meV per atom
density = 4.08 g/cm³
M_tot = 0.0 Bohr magnetons per cell

The structure in extended XYZ format:
```
11
Lattice="-3.7741 7.0677 2.7238 -6.7747 -4.1430 2.9248 -1.2247 0.4920 9.1601" Properties=species:S:1:pos:R:3 pbc="T T T"
I -5.0555 -1.6750 3.9284
Hf -10.1230 2.8131 5.7829
Rb -6.4597 1.9284 11.1251
I -8.7607 -1.5928 10.4813
I -3.5082 4.1061 3.8248
I -6.7006 6.1043 10.3433
Rb -5.0417 4.7306 7.2491
I -9.5636 2.7892 12.8042
Rb -6.6652 -1.3354 7.3579
I -1.5465 0.4522 2.1355
I -7.6166 2.1758 7.6557
```

***

4.
Compound: In5Sn3Pb2
Source: Alexandria via LeMat-Bulk
Functional: PBE
Structure: relaxed

## Properties
E = -0.1204 Ha/atom
density = 7.87 g/cm³
DOS(E_F) = 7.5 states/eV per cell
M_tot = 0.0 Bohr magnetons per cell

The structure in extended XYZ format:
```
20
Lattice="-1.2787 -5.6332 -3.9393 6.4984 3.1327 -5.8186 4.1296 -5.0247 6.6033" Properties=species:S:1:pos:R:3 pbc="T T T"
Pb 2.8783 -4.9012 2.0232
In 7.4549 -3.9135 -1.9943
In 7.8726 -1.8562 1.1306
Sn 6.7337 -0.7854 -1.7579
Sn 5.4483 -1.4043 -8.2990
In 1.4768 -5.6688 -4.2853
In 4.8645 -2.7996 0.0854
Pb 6.4710 -2.6239 -5.1779
In 1.8945 -3.6116 -1.1603
Pb 3.4578 -3.5188 -6.3397
In 4.4849 -4.7255 -3.2400
Pb 5.8915 -4.0062 3.1851
Sn 2.6157 -6.7397 -1.3967
Sn 3.9011 -6.1207 5.1444
Sn 5.4403 -5.8621 -0.2830
In 1.9916 -8.5441 1.1456
In 4.2898 -0.0228 -5.5691
In 7.3577 1.0190 -4.3003
In 5.0596 -7.5023 2.4144
Sn 3.9090 -1.6629 -2.8717
```

***

5.
Compound: PSe
Source: Alexandria via LeMat-Bulk
Functional: PBE
Structure: relaxed

## Properties
formation energy from raw total energies = 725 meV per atom
density = 5.16 g/cm³
DOS(E_F) = 0.8 states/eV per cell
polymorph energy (0 for the lowest one) = 0.805 eV/atom
M_tot = 0.0 Bohr magnetons per cell

The structure in extended XYZ format:
```
2
Lattice="-0.1722 -1.4022 -2.9625 -1.8131 -2.4306 1.2559 -2.7304 1.7024 -0.6471" Properties=species:S:1:pos:R:3 pbc="T T T"
Se -2.3579 -1.0652 -1.1768
P 0.0000 0.0000 0.0000
```

***

6.
Compound: RbPd2W
Source: Alexandria via LeMat-Bulk
Functional: PBE
Structure: relaxed

## Properties
density = 7.36 g/cm³
DOS(E_F) = 9.9 states/eV per cell
polymorph energy (0 for the lowest one) = 0.000 eV/atom
M_tot = 3.7 Bohr magnetons per cell

The structure in extended XYZ format:
```
8
Lattice="7.7292 0.0000 0.0000 0.0000 7.7292 0.0000 3.8646 3.8646 3.6401" Properties=species:S:1:pos:R:3 pbc="T T T"
W 0.0000 0.0000 0.0000
Pd 6.4702 1.9323 0.9100
Pd 5.7969 5.1236 2.7301
Rb 3.8646 7.7292 1.8201
W 7.7292 3.8646 1.8201
Pd 9.6616 10.3349 2.7301
Rb 3.8646 3.8646 0.0000
Pd 1.2590 5.7969 0.9100
```

***

7.
Compound: Rb2Ac2NbO6
Source: Alexandria via LeMat-Bulk
Functional: PBE
Structure: relaxed

## Properties
formation energy from raw total energies = -2472 meV per atom
density = 5.71 g/cm³
DOS(E_F) = 2.9 states/eV per cell
M_tot = 0.7 Bohr magnetons per cell

The structure in extended XYZ format:
```
11
Lattice="-1.6048 -5.3021 3.0293 5.4787 2.8069 1.4036 -4.0308 4.2729 3.7500" Properties=species:S:1:pos:R:3 pbc="T T T"
Nb -2.0154 2.1364 1.8750
O -0.4354 0.8419 2.3019
Rb 4.4044 1.5771 1.6501
Rb -0.5305 -4.0723 2.7828
O -2.9782 1.1603 3.4960
Ac -1.2393 -0.4401 4.3579
O 0.7459 -1.7585 5.1632
Ac 1.0824 2.2178 3.8251
O -0.9028 3.5362 3.0197
O 0.2785 0.9358 5.8811
O 2.8212 0.6174 4.6869
```

***

8.
Compound: LaVN3
Source: Alexandria via LeMat-Bulk
Functional: PBE
Structure: relaxed

## Properties
formation energy from raw total energies = -931 meV per atom
density = 5.41 g/cm³
DOS(E_F) = 4.3 states/eV per cell
M_tot = 0.0 Bohr magnetons per cell

The structure in extended XYZ format:
```
10
Lattice="4.2333 -0.0004 0.0019 -0.1047 5.1482 0.0035 -1.6724 0.6092 6.5253" Properties=species:S:1:pos:R:3 pbc="T T T"
N 0.1791 4.1268 1.8388
N -1.0720 4.3159 4.9150
V -1.0279 2.4139 5.2545
N 1.4998 4.1126 2.1292
La 0.8684 1.5435 2.1296
N 3.4613 1.5292 0.0114
N 0.4682 2.1526 6.2462
La 1.0996 4.7216 6.2457
N 3.0400 1.9489 3.4603
V 2.9960 3.8509 3.1208
```

***

9.
Compound: Sm6Te3C2Se
Source: Alexandria via LeMat-Bulk
Functional: PBE
Structure: relaxed

## Properties
formation energy from raw total energies = -1112 meV per atom
density = 7.50 g/cm³
DOS(E_F) = 4.2 states/eV per cell
M_tot = 0.0 Bohr magnetons per cell

The structure in extended XYZ format:
```
12
Lattice="4.0318 0.0000 0.0000 0.0000 8.5843 0.1044 -2.0159 -2.6742 8.8505" Properties=species:S:1:pos:R:3 pbc="T T T"
Sm 0.0000 2.1280 5.6933
Te 2.0159 -0.3927 6.0741
Sm 2.0159 3.8647 8.4116
Se 2.0159 0.0000 0.0000
Sm 2.0159 0.2446 3.0621
C 2.0159 3.9454 5.9095
Sm 0.0000 2.0454 0.5433
Sm 0.0000 5.6655 5.8927
Sm 2.0159 3.7821 3.2616
C 0.0000 1.9646 3.0454
Te 2.0159 4.2921 0.0522
Te 0.0000 6.3027 2.8808
```

***

10.
Compound: Cs2NiPb2
Source: Alexandria via LeMat-Bulk
Functional: PBE
Structure: relaxed

## Properties
E = -0.1023 Ha/atom
density = 6.89 g/cm³
DOS(E_F) = 8.5 states/eV per cell
M_tot = 0.0 Bohr magnetons per cell

The structure in extended XYZ format:
```
10
Lattice="7.2918 0.0000 0.0000 0.0000 7.2918 0.0000 0.0000 0.0000 6.6971" Properties=species:S:1:pos:R:3 pbc="T T T"
Pb 2.4878 6.1337 0.0000
Ni 0.0000 0.0000 0.0000
Cs 4.9412 5.9964 3.3486
Pb 4.8040 1.1581 0.0000
Cs 5.9964 2.3505 3.3486
Pb 6.1337 4.8040 0.0000
Ni 3.6459 3.6459 0.0000
Cs 1.2953 4.9412 3.3486
Pb 1.1581 2.4878 0.0000
Cs 2.3505 1.2953 3.3486
```

***

11.
Compound: TbLuCdNi
Source: Alexandria via LeMat-Bulk
Functional: PBE
Structure: relaxed

## Properties
E = -0.1556 Ha/atom
density = 9.42 g/cm³
DOS(E_F) = 3.0 states/eV per cell
M_tot = 0.0 Bohr magnetons per cell

The structure in extended XYZ format:
```
4
Lattice="-2.0029 -2.0026 4.1346 2.9093 -2.4623 3.2542 0.9914 2.0008 4.4868" Properties=species:S:1:pos:R:3 pbc="T T T"
Lu 0.9489 -1.2321 5.9378
Ni 0.4745 -0.6160 2.9689
Tb 0.0000 0.0000 0.0000
Cd 1.4234 -1.8481 8.9066
```

***

12.
Compound: CsKGa3
Source: Alexandria via LeMat-Bulk
Functional: PBE
Structure: relaxed

## Properties
E = -0.0504 Ha/atom
density = 2.56 g/cm³
DOS(E_F) = 6.2 states/eV per cell
M_tot = 0.0 Bohr magnetons per cell

The structure in extended XYZ format:
```
5
Lattice="6.2802 0.0000 0.0000 0.0000 6.2802 0.0000 0.0000 0.0000 6.2802" Properties=species:S:1:pos:R:3 pbc="T T T"
Ga 0.0000 0.0000 3.1401
K 3.1401 3.1401 3.1401
Ga 0.0000 3.1401 0.0000
Cs 0.0000 0.0000 0.0000
Ga 3.1401 0.0000 0.0000
```

***

13.
Compound: In2ReBr
Source: Alexandria via LeMat-Bulk
Functional: PBE
Structure: relaxed

## Properties
formation energy from raw total energies = 672 meV per atom
density = 8.86 g/cm³
DOS(E_F) = 3.4 states/eV per cell
polymorph energy (0 for the lowest one) = 0.351 eV/atom
M_tot = 0.0 Bohr magnetons per cell

The structure in extended XYZ format:
```
4
Lattice="7.1550 1.1752 0.0949 4.2458 5.8777 -0.0949 -5.1278 -4.4520 2.5434" Properties=species:S:1:pos:R:3 pbc="T T T"
Re 3.8638 0.1248 1.3192
Br 2.4092 2.4761 1.2242
In 6.4373 3.9823 0.0000
In 10.6639 6.5970 0.0000
```

***

14.
Compound: KZrAu2O
Source: Alexandria via LeMat-Bulk
Functional: PBE
Structure: relaxed

## Properties
formation energy from raw total energies = -891 meV per atom
density = 6.94 g/cm³
DOS(E_F) = 2.4 states/eV per cell
M_tot = 0.0 Bohr magnetons per cell

The structure in extended XYZ format:
```
5
Lattice="-5.0843 -1.7165 -1.7316 0.9177 -3.8122 1.0845 -2.0801 0.9648 5.1514" Properties=species:S:1:pos:R:3 pbc="T T T"
Zr 0.0000 0.0000 0.0000
O 0.4589 -1.9061 0.5423
Au -1.0401 0.4824 2.5757
Au -2.5421 -0.8583 -0.8658
K -3.1234 -2.2820 2.2522
```

***

15.
Compound: Na2Ac3PrSe6
Source: Alexandria via LeMat-Bulk
Functional: PBE
Structure: relaxed

## Properties
formation energy from raw total energies = -1751 meV per atom
density = 6.21 g/cm³
DOS(E_F) = 3.7 states/eV per cell
M_tot = 0.0 Bohr magnetons per cell

The structure in extended XYZ format:
```
12
Lattice="-1.8224 -3.1812 -6.7367 -4.4507 -1.2003 6.1298 -1.7232 7.1409 -1.4514" Properties=species:S:1:pos:R:3 pbc="T T T"
Se -6.4782 2.4538 0.5677
Se -2.3881 0.9614 1.6330
Se -5.6082 1.7981 -3.6913
Na -3.5733 -1.8615 1.8348
Ac -3.9982 1.3797 -1.0292
Pr 0.0000 0.0000 0.0000
Ac -3.1276 0.7236 -5.2907
Ac -4.8687 2.0358 3.2324
Se -1.5181 0.3057 -2.6261
Se -5.1309 -1.5486 -0.8097
Na -2.6998 -2.5199 -2.4417
Se -2.8655 4.3080 -1.2486
```

***

16.
Compound: Ba3Li2NbO6
Source: Alexandria via LeMat-Bulk
Functional: PBE
Structure: relaxed

## Properties
formation energy from raw total energies = -2401 meV per atom
density = 4.79 g/cm³
DOS(E_F) = 1.3 states/eV per cell
M_tot = 0.5 Bohr magnetons per cell

The structure in extended XYZ format:
```
12
Lattice="5.9251 0.0000 0.0000 -2.9626 5.1313 0.0000 0.0000 0.0000 7.0078" Properties=species:S:1:pos:R:3 pbc="T T T"
O 1.4256 0.8231 4.7062
Nb 0.0000 0.0000 3.5039
Li 0.0000 3.4209 1.6030
Li 2.9626 1.7104 5.4048
O 1.5369 4.3082 2.3016
Ba 0.0000 3.4209 4.4925
O 0.0000 1.6462 2.3016
O 4.4995 0.8231 4.7062
O -1.5369 4.3082 2.3016
O 2.9626 3.4852 4.7062
Ba 0.0000 0.0000 0.0000
Ba 2.9626 1.7104 2.5153
```

***

17.
Compound: InReRu2
Source: Alexandria via LeMat-Bulk
Functional: PBE
Structure: relaxed

## Properties
E = -0.2991 Ha/atom
density = 13.16 g/cm³
DOS(E_F) = 4.1 states/eV per cell
M_tot = 0.0 Bohr magnetons per cell

The structure in extended XYZ format:
```
4
Lattice="4.7553 0.0079 -0.0002 3.9082 2.7091 -0.0002 0.8422 0.2641 4.9420" Properties=species:S:1:pos:R:3 pbc="T T T"
Ru 8.6141 2.7015 0.1576
Re 2.3764 0.7453 1.2354
In 7.1293 2.2358 3.7062
Ru 4.8022 1.5061 2.3128
```

***

18.
Compound: HfZrPdW
Source: Alexandria via LeMat-Bulk
Functional: PBE
Structure: relaxed

## Properties
E = -0.3464 Ha/atom
density = 12.61 g/cm³
DOS(E_F) = 1.7 states/eV per cell
M_tot = 0.0 Bohr magnetons per cell

The structure in extended XYZ format:
```
4
Lattice="4.7074 0.0000 0.0000 2.3537 4.0768 0.0000 2.3537 1.3589 3.8436" Properties=species:S:1:pos:R:3 pbc="T T T"
Hf 7.0612 4.0768 2.8827
W 0.0000 0.0000 0.0000
Zr 2.3537 1.3589 0.9609
Pd 4.7074 2.7178 1.9218
```

***

19.
Compound: Pu2ThSi6
Source: Alexandria via LeMat-Bulk
Functional: PBE
Structure: relaxed

## Properties
formation energy from raw total energies = -248 meV per atom
density = 7.94 g/cm³
DOS(E_F) = 14.7 states/eV per cell
polymorph energy (0 for the lowest one) = 0.262 eV/atom
M_tot = 10.5 Bohr magnetons per cell

The structure in extended XYZ format:
```
9
Lattice="3.8263 0.0000 0.0000 1.9131 7.2065 0.6685 1.9131 2.0778 6.9328" Properties=species:S:1:pos:R:3 pbc="T T T"
Si 3.8263 5.6772 2.5364
Si 3.8263 4.2977 0.6397
Si 3.8263 3.6071 5.0648
Si 3.8263 4.9866 6.9616
Pu 5.7394 5.8452 4.7856
Th 0.0000 0.0000 0.0000
Pu 1.9131 3.4391 2.8157
Si 3.8263 1.4754 4.0869
Si 3.8263 7.8089 3.5144
```

***

20.
Compound: Zr2Si4Pd3
Source: Alexandria via LeMat-Bulk
Functional: PBE
Structure: relaxed

## Properties
formation energy from raw total energies = -743 meV per atom
density = 7.17 g/cm³
DOS(E_F) = 7.8 states/eV per cell
M_tot = 0.0 Bohr magnetons per cell

The structure in extended XYZ format:
```
18
Lattice="5.4932 0.0000 0.0000 0.0000 7.1465 0.0000 -2.7466 0.0000 7.2471" Properties=species:S:1:pos:R:3 pbc="T T T"
Si -1.3733 5.3599 6.3628
Zr 2.7466 6.4608 1.4306
Zr 0.0000 0.6857 5.8165
Si 0.0000 3.3637 4.6703
Pd 0.0000 0.0000 0.0000
Si 2.7466 3.7828 2.5768
Si 1.3733 1.7866 0.8843
Pd 2.7466 3.5732 0.0000
Pd 1.3733 1.7866 3.3032
Si 1.3733 5.3599 6.3628
Pd -1.3733 5.3599 3.9439
Si 0.0000 6.9369 2.5768
Pd 1.3733 5.3599 3.9439
Si 4.1199 1.7866 0.8843
Si 2.7466 0.2096 4.6703
Pd 4.1199 1.7866 3.3032
Zr 2.7466 2.8876 5.8165
Zr 0.0000 4.2589 1.4306
```

***

21.
Compound: LiSi2Ru
Source: Alexandria via LeMat-Bulk
Functional: PBE
Structure: relaxed

## Properties
formation energy from raw total energies = 65 meV per atom
density = 4.74 g/cm³
DOS(E_F) = 2.3 states/eV per cell
polymorph energy (0 for the lowest one) = 0.413 eV/atom
M_tot = 0.0 Bohr magnetons per cell

The structure in extended XYZ format:
```
4
Lattice="-0.9565 -2.7819 -7.6322 1.9147 -2.8775 -7.4134 0.3206 -5.0611 -6.4177" Properties=species:S:1:pos:R:3 pbc="T T T"
Si 0.0031 -0.0261 -0.0523
Si 0.3270 -2.7417 -5.4891
Ru 0.9470 -7.9393 -15.8948
Li 0.6410 -5.3738 -10.7586
```

***

22.
Compound: CsTcPd3
Source: Alexandria via LeMat-Bulk
Functional: PBE
Structure: relaxed

## Properties
density = 7.35 g/cm³
DOS(E_F) = 6.6 states/eV per cell
polymorph energy (0 for the lowest one) = 0.000 eV/atom
M_tot = 0.0 Bohr magnetons per cell

The structure in extended XYZ format:
```
5
Lattice="-2.2986 -4.2314 1.3098 4.2147 -1.6353 2.1135 -1.3628 2.0797 4.3269" Properties=species:S:1:pos:R:3 pbc="T T T"
Tc 0.0000 0.0000 0.0000
Pd -1.1493 -2.1157 0.6549
Pd -0.6814 1.0398 2.1634
Cs 0.2766 -1.8935 3.8751
Pd 2.1073 -0.8177 1.0567
```

***

23.
Compound: SrTcP2
Source: Alexandria via LeMat-Bulk
Functional: PBE
Structure: relaxed

## Properties
density = 5.01 g/cm³
DOS(E_F) = 2.2 states/eV per cell
polymorph energy (0 for the lowest one) = 0.275 eV/atom
M_tot = 0.0 Bohr magnetons per cell

The structure in extended XYZ format:
```
4
Lattice="-0.5805 2.8108 -2.9449 -3.0497 0.8813 1.4423 2.6555 3.9205 3.2185" Properties=species:S:1:pos:R:3 pbc="T T T"
Sr -0.3888 2.6058 -0.3072
P 0.2477 4.3999 4.1508
Tc -0.5860 5.0067 2.0232
P -0.8391 2.8028 2.8405
```

***

24.
Compound: KAgCl3
Source: Alexandria via LeMat-Bulk
Functional: PBE
Structure: relaxed

## Properties
formation energy from raw total energies = -908 meV per atom
density = 2.59 g/cm³
DOS(E_F) = 2.7 states/eV per cell
M_tot = 0.0 Bohr magnetons per cell

The structure in extended XYZ format:
```
10
Lattice="4.1327 0.0000 0.3242 0.0000 10.2248 0.0000 -2.9084 0.0000 7.4535" Properties=species:S:1:pos:R:3 pbc="T T T"
Cl 0.2112 2.5562 3.3952
Cl 3.6412 9.3030 1.2193
K 2.4513 2.5562 1.1233
Cl 3.6412 6.0341 1.2193
Cl -2.4169 4.1906 6.5583
Cl 1.0131 7.6686 4.3825
Cl -2.4169 0.9218 6.5583
K -1.2270 7.6686 6.6544
Ag -1.8242 2.5562 4.8311
Ag 3.0484 7.6686 2.9466
```